Below is crystalline AcPrHgGe at its relaxed geometry, with properties calculated at the PBE-GGA level.

Structure (POSCAR):
```
AcPrHgGe
1.0
5.4983 0.0000 0.0000
2.7492 4.7617 0.0000
2.7492 1.5872 4.4893
Ge Ac Pr Hg
1 1 1 1
direct
0.2500 0.2500 0.2500 Ge
0.0000 0.0000 0.0000 Ac
0.5000 0.5000 0.5000 Pr
0.7500 0.7500 0.7500 Hg
```

Calculated values
DFT formation energy	-519	meV per atom
space-group type	F-43m